A geometry-optimized Tb3As2H structure. Source: Alexandria via LeMat-Bulk, functional PBE.

CIF file:
```
data_Tb3As2H
_chemical_formula_sum 'Tb12 As8 H4'
_cell_length_a 12.518
_cell_length_b 5.711
_cell_length_c 8.157
_cell_angle_alpha 90.00
_cell_angle_beta 109.00
_cell_angle_gamma 90.00
_space_group_name_H-M_alt 'C 1 2/c 1'
_space_group_IT_number 15
_space_group_name_Hall '-C 2yc'
loop_
_atom_site_label
_atom_site_fract_x
_atom_site_fract_y
_atom_site_fract_z
_atom_site_occupancy
Tb1 0.000 0.033 0.250 1
Tb2 0.167 0.499 0.583 1
As1 0.169 0.001 0.084 1
H1 0.000 0.454 0.250 1
```

Properties
* size of the total moment: 0.00 μB/cell
* V: 22.977 A^3/atom
* final energy: -5.469 eV/atom